Entry 1:
NbTcS2: relaxed, PBE-GGA.

Summary:
V: 310.4 Å³ per cell
Total magnetization: 0.00 μB per cell
Raw formation energy: -0.227 eV per atom
Energy above the most stable polymorph in this dataset: 0.105 eV/atom
VASP energy: -118.39 eV for the cell shown
DOS(E_F): 15.1 states/eV/cell

Cell lengths 5.510, 5.510, 10.224 Å; angles 90.00, 90.00, 90.00 degrees
Space group I-42d (No. 122)
Asymmetric unit:
Nb  0.000  0.000  0.000
Tc  0.000  0.000  0.500
S  0.232  0.250  0.625



Entry 2:
Nb3TcS4: relaxed, PBE-GGA.

Summary:
V: 275.1 Å³ per cell
Total magnetization: 0.00 μB per cell
Raw formation energy: -0.548 eV per atom
VASP energy: -122.94 eV for the cell shown
DOS(E_F): 10.5 states/eV/cell

Cell lengths 9.100, 4.850, 6.234 Å; angles 90.00, 90.00, 90.00 degrees
Space group Pmn2_1 (No. 31)
Asymmetric unit:
Nb  0.000  0.237  0.000
Nb  0.229  0.306  0.622
Tc  0.000  0.861  0.684
S  0.000  0.225  0.417
S  0.000  0.738  0.056
S  0.219  0.783  0.497